Record 1
The following is a DFT calculation (PBE with a Hubbard U) of a relaxed structure of Na2HoWO6.

Volume in Å³/f.u.: 135.2
Total DFT energy (no corrections) in eV per atom: -6.646

a = 5.6986 Å, b = 5.8250 Å, c = 9.9359 Å
α = 90.00°, β = 124.95°, γ = 90.00°
Closest atoms and distances in Å follow each position.
Fractional positions:
Na: 0.2449 0.0296 0.2519  4 O 2.44-2.65
Na: 0.2449 0.4704 0.7519  4 O 2.44-2.65
Na: 0.7551 0.5296 0.2481  4 O 2.44-2.65
Na: 0.7551 0.9704 0.7481  4 O 2.44-2.65
Ho: 0.5000 0.0000 0.0000  6 O 2.23-2.25
Ho: 0.5000 0.5000 0.5000  6 O 2.23-2.25
W: 0.0000 0.0000 0.5000  6 O 1.94-1.95
W: 0.0000 0.5000 0.0000  6 O 1.94-1.95
O: 0.1426 0.2279 0.9540  1 W 1.95
O: 0.1426 0.2721 0.4540  1 W 1.95
O: 0.2333 0.6921 0.9600  1 W 1.94
O: 0.2333 0.8079 0.4600  1 W 1.94
O: 0.3144 0.0247 0.7314  1 W 1.95
O: 0.3144 0.4753 0.2314  1 W 1.95
O: 0.6856 0.5247 0.7686  1 W 1.95
O: 0.6856 0.9753 0.2686  1 W 1.95
O: 0.7667 0.1921 0.5400  1 W 1.94
O: 0.7667 0.3079 0.0400  1 W 1.94
O: 0.8574 0.7279 0.5460  1 W 1.95
O: 0.8574 0.7721 0.0460  1 W 1.95



Record 2
The following is a DFT calculation (PBE with a Hubbard U) of a relaxed structure of Na2HoW3O12.

Volume in Å³/f.u.: 307.3
Total DFT energy (no corrections) in eV per atom: -7.001

a = 7.6511 Å, b = 7.6511 Å, c = 7.6511 Å
α = 58.71°, β = 58.71°, γ = 58.71°
Closest atoms and distances in Å follow each position.
Fractional positions:
Na: 0.1977 0.1977 0.1977  6 O 2.53-2.82
Na: 0.8023 0.8023 0.8023  6 O 2.53-2.82
Ho: 0.5000 0.5000 0.5000  6 O 2.27
W: 0.0000 0.5000 0.5000  6 O 1.91-1.95
W: 0.5000 0.0000 0.5000  6 O 1.91-1.95
W: 0.5000 0.5000 0.0000  6 O 1.91-1.95
O: 0.1422 0.5789 0.5789  1 W 1.91
O: 0.2008 0.2008 0.5628  2 W 1.95
O: 0.2008 0.5628 0.2008  2 W 1.95
O: 0.4211 0.4211 0.8578  1 W 1.91
O: 0.4211 0.8578 0.4211  1 W 1.91
O: 0.4372 0.7992 0.7992  2 W 1.95
O: 0.5628 0.2008 0.2008  2 W 1.95
O: 0.5789 0.1422 0.5789  1 W 1.91
O: 0.5789 0.5789 0.1422  1 W 1.91
O: 0.7992 0.4372 0.7992  2 W 1.95
O: 0.7992 0.7992 0.4372  2 W 1.95
O: 0.8578 0.4211 0.4211  1 W 1.91



| no. | Fermi-level density of states (states/eV per atom) |
| --- | --- |
| 1 | 0.63 |
| 2 | 0.59 |